Material: Pm4InSn2
Method: DFT, PBE
State: optimized geometry

```
Pm4InSn2
1.0
5.8723 0.0000 0.0000
0.0000 6.6549 0.0000
-2.0948 0.0000 10.6971
Pm In Sn
8 2 4
Cartesian
0.5996 1.6637 1.3321
0.5348 4.9911 4.8147
0.3260 0.0931 7.8839
0.3260 3.2343 7.8839
3.4514 3.4205 2.8131
3.4514 6.5618 2.8131
3.2426 1.6637 5.8824
3.1778 4.9911 9.3650
0.2726 4.9911 1.8231
3.5048 1.6637 8.8740
0.3347 1.6637 4.6268
0.3039 4.9911 10.6791
3.4735 1.6637 0.0179
3.4427 4.9911 6.0703
```

Computed properties:
total DFT energy (no corrections)	-66.47	eV for the cell shown

=====

Material: Sc2HgH
Method: DFT, PBE
State: optimized geometry

```
Sc2HgH
1.0
1.6489 0.9520 8.2702
-1.6489 0.9520 8.2702
0.0000 -1.9040 8.2702
Sc Hg H
2 1 1
Cartesian
0.0000 0.0000 2.9480
0.0000 0.0000 21.8626
0.0000 0.0000 0.0000
0.0000 0.0000 12.4053
```

Computed properties:
total DFT energy (no corrections)	-16.75	eV for the cell shown

=====

Material: Tb5Ce2Ir4
Method: DFT, PBE
State: optimized geometry

```
Tb5Ce2Ir4
1.0
12.0233 -1.8187 0.0000
12.0233 1.8187 0.0000
-0.2174 0.0000 6.9535
Tb Ce Ir
5 2 4
Cartesian
0.0000 0.0000 0.0000
6.4029 0.0000 1.9840
8.6205 0.0000 5.7435
15.2086 0.0000 1.2099
17.4262 0.0000 4.9695
9.8827 0.0000 2.5075
13.9465 0.0000 4.4460
3.9182 0.0000 3.3234
11.2782 0.0000 4.8481
12.5509 0.0000 2.1054
19.9109 0.0000 3.6300
```

Computed properties:
total DFT energy (no corrections)	-74.74	eV for the cell shown

=====

Material: TbThAu2
Method: DFT, PBE
State: optimized geometry

```
TbThAu2
1.0
2.0085 1.1596 7.8423
-2.0085 1.1596 7.8423
0.0000 -2.3192 7.8423
Tb Th Au
1 1 2
Cartesian
0.0000 0.0000 0.0000
0.0000 0.0000 11.7635
0.0000 0.0000 5.9080
0.0000 0.0000 17.6190
```

Computed properties:
total DFT energy (no corrections)	-20.93	eV for the cell shown